PrHo3H8 | Alexandria via LeMat-Bulk | GGA-PBE | relaxed; total DFT energy (no corrections) = -53.6 eV/f.u.; M_tot = 0.00 μB per formula unit
1.0
5.2393 0.0000 0.0000
0.0000 5.2393 0.0000
0.0000 0.0000 5.2393
Pr Ho H
1 3 8
Direct
0.0000 0.0000 0.0000
0.0000 0.5000 0.5000
0.5000 0.0000 0.5000
0.5000 0.5000 0.0000
0.2600 0.2600 0.2600
0.2600 0.2600 0.7400
0.2600 0.7400 0.2600
0.2600 0.7400 0.7400
0.7400 0.2600 0.2600
0.7400 0.2600 0.7400
0.7400 0.7400 0.2600
0.7400 0.7400 0.7400


Pr2HoH | Alexandria via LeMat-Bulk | GGA-PBE | relaxed; total DFT energy (no corrections) = -17.1 eV/f.u.; M_tot = 0.00 μB per formula unit
1.0
3.4668 0.0000 0.0000
0.0000 3.4668 0.0000
0.0000 0.0000 8.6635
Pr Ho H
2 1 1
Direct
0.0000 0.0000 0.1914
0.0000 0.0000 0.8086
0.5000 0.5000 0.5000
0.5000 0.5000 0.0000


PrHo3H | Alexandria via LeMat-Bulk | GGA-PBE | relaxed; total DFT energy (no corrections) = -22.7 eV/f.u.; M_tot = 0.00 μB per formula unit
1.0
5.0160 0.0000 0.0000
0.0000 5.0160 0.0000
0.0000 0.0000 5.0160
Pr Ho H
1 3 1
Direct
0.0000 0.0000 0.0000
0.0000 0.5000 0.5000
0.5000 0.0000 0.5000
0.5000 0.5000 0.0000
0.5000 0.5000 0.5000